VASP calculation (PBE) on crystalline CoBiIrPt at its relaxed geometry.

Cell lengths 6.4233, 6.4233, 6.4233 Å; angles 90.00, 90.00, 90.00 degrees
Last column: nearest neighbours and their distance in Å.
Space group F-43m (No. 216)
One atom of each set of equivalent atoms:
Co 0.0000 0.0000 0.0000 (multiplicity 4)  4 Pt 2.78, 4 Bi 2.78
Bi 0.2500 0.2500 0.7500 (multiplicity 4)  4 Co 2.78, 4 Ir 2.78
Ir 0.0000 0.0000 0.5000 (multiplicity 4)  4 Bi 2.78, 4 Pt 2.78
Pt 0.2500 0.2500 0.2500 (multiplicity 4)  4 Ir 2.78, 4 Co 2.78

Properties
Total moment ... 7.5 μB/cell

***

VASP calculation (PBE) on crystalline CoReBiIr at its relaxed geometry.

Cell lengths 6.3868, 6.3868, 6.3868 Å; angles 90.00, 90.00, 90.00 degrees
Last column: nearest neighbours and their distance in Å.
Space group F-43m (No. 216)
One atom of each set of equivalent atoms:
Co 0.0000 0.0000 0.0000 (multiplicity 4)  4 Ir 2.77, 4 Bi 2.77
Re 0.0000 0.0000 0.5000 (multiplicity 4)  4 Bi 2.77, 4 Ir 2.77
Bi 0.2500 0.2500 0.7500 (multiplicity 4)  4 Co 2.77, 4 Re 2.77
Ir 0.2500 0.2500 0.2500 (multiplicity 4)  4 Re 2.77, 4 Co 2.77

Properties
Total moment ... 6.2 μB/cell

***

VASP calculation (PBE) on crystalline YCoBiIr at its relaxed geometry.

Cell lengths 6.7927, 6.7927, 6.7927 Å; angles 90.00, 90.00, 90.00 degrees
Last column: nearest neighbours and their distance in Å.
Space group F-43m (No. 216)
One atom of each set of equivalent atoms:
Y 0.0000 0.0000 0.0000 (multiplicity 4)  4 Bi 2.94, 4 Ir 2.94
Co 0.0000 0.0000 0.5000 (multiplicity 4)  4 Ir 2.94, 4 Bi 2.94
Bi 0.2500 0.2500 0.2500 (multiplicity 4)  4 Co 2.94, 4 Y 2.94
Ir 0.2500 0.2500 0.7500 (multiplicity 4)  4 Co 2.94, 4 Y 2.94

Properties
Total moment ... 7.9 μB/cell

***

no.,energy relative to the lowest polymorph listed for this composition (meV/atom),final energy (eV per atom)
1,0.0,-6.15
2,0.0,-7.39
3,315.3,-6.45